DFT (GGA+U) results for a geometry-optimized NiGeO2F structure.

Values from the calculation:
Total energy (eV/atom): -4.60
Total magnetization (Bohr magnetons per cell): 1.38
DOS at the Fermi energy (states/eV/f.u.): 4.5
Mass density (g/cm³): 5.39

Cell: 3.7802 3.7802 3.9301 Å, 90.00 90.00 90.00°
Site moments in Bohr magnetons follow the coordinates.
Sites, in units of the cell vectors:
Ni (0.5000, 0.5000, 0.5000)  1.32
Ge (0.0000, 0.0000, 0.0000)  0.00
O (0.0000, 0.5000, 0.0000)  0.03
O (0.5000, 0.0000, 0.0000)  0.03
F (0.0000, 0.0000, 0.5000)  0.00